No. 1
A plane-wave DFT calculation with PBE was carried out for a relaxed structure of Ca2Ac2Ni. Values from VASP.

Properties
Its symmetry is P4/mmm, No. 123. The formation enthalpy at 0 K comes out at -0.082 eV/atom. For the volume, the calculation gives 38.4 Å³/atom. The value obtained for the magnetic moment is 0.00 μB per formula unit. Its total energy is -3.682 eV/atom.

The structure in Quantum ESPRESSO input format:
```
&SYSTEM
  ibrav = 0, nat = 5, ntyp = 3
/
ATOMIC_SPECIES
Ca 40.08 Ca.upf
Ac 227.00 Ac.upf
Ni 58.69 Ni.upf
ATOMIC_POSITIONS crystal
Ca 0.500 0.500 0.500
Ca 0.000 0.000 0.500
Ac 0.000 0.500 0.000
Ac 0.500 0.000 0.000
Ni 0.000 0.000 0.000
CELL_PARAMETERS angstrom
5.729 0.000 0.000
0.000 5.729 0.000
0.000 0.000 5.855
```



No. 2
A plane-wave DFT calculation with PBE was carried out for a relaxed structure of IrRu2Cl. Values from VASP.

Properties
As for the energy above the most stable polymorph in this dataset: 226 kJ/mol of formula units. Its symmetry is I-4m2, No. 119. For the volume, the calculation gives 14.8 Å³/atom. The value obtained for the magnetic moment is 0.00 μB per formula unit. Its total energy is -6.330 eV/atom.

The structure in Quantum ESPRESSO input format:
```
&SYSTEM
  ibrav = 0, nat = 4, ntyp = 3
/
ATOMIC_SPECIES
Cl 35.45 Cl.upf
Ir 192.22 Ir.upf
Ru 101.07 Ru.upf
ATOMIC_POSITIONS crystal
Cl 0.500 0.500 0.000
Ir 0.750 0.250 0.500
Ru 0.000 0.000 0.000
Ru 0.250 0.750 0.500
CELL_PARAMETERS angstrom
4.565 0.000 0.000
0.898 4.476 0.000
-2.732 -2.238 2.893
```



Question: Which value of total energy does entry 1 give?
Answer: -3.682 eV/atom



Please write out number 2 again, unchanged.
A plane-wave DFT calculation with PBE was carried out for a relaxed structure of IrRu2Cl. Values from VASP.

Properties
As for the energy above the most stable polymorph in this dataset: 226 kJ/mol of formula units. Its symmetry is I-4m2, No. 119. For the volume, the calculation gives 14.8 Å³/atom. The value obtained for the magnetic moment is 0.00 μB per formula unit. Its total energy is -6.330 eV/atom.

The structure in Quantum ESPRESSO input format:
```
&SYSTEM
  ibrav = 0, nat = 4, ntyp = 3
/
ATOMIC_SPECIES
Cl 35.45 Cl.upf
Ir 192.22 Ir.upf
Ru 101.07 Ru.upf
ATOMIC_POSITIONS crystal
Cl 0.500 0.500 0.000
Ir 0.750 0.250 0.500
Ru 0.000 0.000 0.000
Ru 0.250 0.750 0.500
CELL_PARAMETERS angstrom
4.565 0.000 0.000
0.898 4.476 0.000
-2.732 -2.238 2.893
```